# 1
DFT (PBE-GGA) results for SmYTiAl after structural relaxation.

SG: F-43m
DOS at the Fermi energy in states/eV/atom: 1.275
Mass density in g/cm³: 5.27

abc: 5.193 5.193 5.193
angles: 60.00 60.00 60.00
Site moments in Bohr magnetons follow the coordinates.
Positions (direct):
Y1 0.500 0.500 0.500  0.19
Al1 0.750 0.750 0.750  -0.03
Sm1 0.000 0.000 0.000  0.15
Ti1 0.250 0.250 0.250  1.53

***

# 2
DFT (PBE-GGA) results for Sm2AlTl after structural relaxation.

SG: R-3m
DOS at the Fermi energy in states/eV/atom: 0.906
Mass density in g/cm³: 7.58

abc: 3.770 3.770 9.719
angles: 78.82 78.82 60.00
Positions (direct):
Tl1 0.500 0.500 0.500
Al1 0.000 0.000 0.000
Sm1 0.255 0.255 0.235
Sm2 0.745 0.745 0.765

***

# 3
DFT (PBE-GGA) results for SmAlTl2 after structural relaxation.

SG: R-3m
DOS at the Fermi energy in states/eV/atom: 0.303
Mass density in g/cm³: 9.22

abc: 4.747 4.747 6.061
angles: 66.94 66.94 60.00
Positions (direct):
Tl1 0.734 0.734 0.799
Tl2 0.266 0.266 0.201
Al1 0.000 0.000 0.000
Sm1 0.500 0.500 0.500

***

# 4
DFT (PBE-GGA) results for SmAlTl2 after structural relaxation.

SG: P4/mmm
DOS at the Fermi energy in states/eV/atom: 0.471
Mass density in g/cm³: 9.60

abc: 4.678 4.656 4.656
angles: 90.00 90.00 90.00
Positions (direct):
Tl1 0.000 0.000 0.500
Tl2 0.000 0.500 0.000
Al1 0.500 0.000 0.000
Sm1 0.500 0.500 0.500

***

# 5
DFT (PBE-GGA) results for Sm6AlTl after structural relaxation.

SG: P4/mmm
DOS at the Fermi energy in states/eV/atom: 1.748
Mass density in g/cm³: 8.02

abc: 4.895 4.895 9.795
angles: 90.00 90.00 90.00
Positions (direct):
Sm1 0.500 0.500 0.000
Sm2 0.500 0.500 0.500
Sm3 0.500 0.000 0.258
Sm4 0.500 0.000 0.742
Sm5 0.000 0.500 0.258
Sm6 0.000 0.500 0.742
Al1 0.000 0.000 0.500
Tl1 0.000 0.000 0.000

***

# 6
DFT (PBE-GGA) results for Sm5AlTl4 after structural relaxation.

SG: P4/mmm
DOS at the Fermi energy in states/eV/atom: 0.700
Mass density in g/cm³: 9.44

abc: 3.769 3.769 19.761
angles: 90.00 90.00 90.00
Positions (direct):
Sm1 0.500 0.500 0.091
Sm2 0.500 0.500 0.294
Sm3 0.500 0.500 0.500
Sm4 0.500 0.500 0.706
Sm5 0.500 0.500 0.909
Al1 0.000 0.000 0.000
Tl1 0.000 0.000 0.193
Tl2 0.000 0.000 0.397
Tl3 0.000 0.000 0.603
Tl4 0.000 0.000 0.807

***

# 7
DFT (PBE-GGA) results for Sm15AlTl4 after structural relaxation.

SG: P4/mmm
DOS at the Fermi energy in states/eV/atom: 1.710
Mass density in g/cm³: 8.60

abc: 4.921 4.921 24.714
angles: 90.00 90.00 90.00
Positions (direct):
Sm1 0.500 0.500 0.000
Sm2 0.500 0.500 0.197
Sm3 0.500 0.500 0.400
Sm4 0.500 0.500 0.600
Sm5 0.500 0.500 0.803
Sm6 0.500 0.000 0.096
Sm7 0.500 0.000 0.299
Sm8 0.500 0.000 0.500
Sm9 0.500 0.000 0.701
Sm10 0.500 0.000 0.904
Sm11 0.000 0.500 0.096
Sm12 0.000 0.500 0.299
Sm13 0.000 0.500 0.500
Sm14 0.000 0.500 0.701
Sm15 0.000 0.500 0.904
Al1 0.000 0.000 0.000
Tl1 0.000 0.000 0.198
Tl2 0.000 0.000 0.399
Tl3 0.000 0.000 0.601
Tl4 0.000 0.000 0.802

***

# 8
DFT (PBE-GGA) results for Sm12Al2Tl5 after structural relaxation.

SG: C2/m
DOS at the Fermi energy in states/eV/atom: 1.135
Mass density in g/cm³: 8.11

abc: 7.288 9.499 9.287
angles: 83.80 90.00 112.56
Positions (direct):
Sm1 0.966 0.933 0.188
Sm2 0.086 0.680 0.939
Sm3 0.594 0.680 0.939
Sm4 0.097 0.695 0.509
Sm5 0.597 0.695 0.509
Sm6 0.496 0.992 0.696
Sm7 0.504 0.008 0.304
Sm8 0.903 0.305 0.491
Sm9 0.403 0.305 0.491
Sm10 0.914 0.320 0.061
Sm11 0.406 0.320 0.061
Sm12 0.034 0.067 0.812
Al1 0.671 0.000 0.000
Al2 0.329 0.000 0.000
Tl1 0.227 0.455 0.752
Tl2 0.297 0.594 0.241
Tl3 0.000 0.000 0.500
Tl4 0.703 0.406 0.759
Tl5 0.773 0.545 0.248

***

Number 1: ΔH_f (0 K) -0.04 eV/atom, electronic total energy -5.743 eV per atom. Number 2: ΔH_f (0 K) -0.21 eV/atom, electronic total energy -4.095 eV per atom. Number 3: ΔH_f (0 K) -0.10 eV/atom, electronic total energy -3.403 eV per atom. Number 4: ΔH_f (0 K) -0.24 eV/atom, electronic total energy -3.540 eV per atom. Number 5: ΔH_f (0 K) -0.18 eV/atom, electronic total energy -4.486 eV per atom. Number 6: ΔH_f (0 K) -0.38 eV/atom, electronic total energy -4.056 eV per atom. Number 7: ΔH_f (0 K) -0.19 eV/atom, electronic total energy -4.391 eV per atom. Number 8: ΔH_f (0 K) -0.14 eV/atom, electronic total energy -4.137 eV per atom.